First-principles (PBE) data for a relaxed Tb2MnHg crystal, as listed in Alexandria.

Values from the calculation:
The calculation puts the energy of formation from the pure elements at -82 meV/atom. Its relative energy among the computed polymorphs is 0.063 eV/atom. As for the density of states at the Fermi level: 22.17 states/eV per cell. As for the spin magnetization: 3.0 μB/f.u.

Cell and atoms, written as CIF:
```
data_Tb2MnHg
_space_group_name_H-M_alt 'F m -3 m'
_space_group_IT_number 225
_space_group_name_Hall '-F 4 2 3'
_cell_length_a 7.304
_cell_length_b 7.304
_cell_length_c 7.304
_cell_angle_alpha 90.00
_cell_angle_beta 90.00
_cell_angle_gamma 90.00
loop_
_atom_site_label
_atom_site_type_symbol
_atom_site_fract_x
_atom_site_fract_y
_atom_site_fract_z
Tb1 Tb 0.250 0.250 0.250
Mn1 Mn 0.000 0.000 0.000
Hg1 Hg 0.000 0.000 0.500
```